## A
## LiCu5 (meta-GGA SCAN)

Data for a crystal of LiCu5 relaxed with PBEsol.

Total magnetization in μB per cell: 0.00

Cell and atoms, written as POSCAR:
```
LiCu5
1.0
2.506 0.000 0.000
0.000 4.142 0.000
-1.253 0.000 6.587
Cu Li
5 1
Direct
0.332 0.000 0.664
0.780 0.500 0.559
0.668 0.000 0.336
0.443 0.500 0.886
0.000 0.000 0.001
0.110 0.500 0.221
```

## B
## LiCu5 (meta-GGA SCAN)

Data for a crystal of LiCu5 relaxed with PBEsol.

Total magnetization in μB per cell: 0.00

Cell and atoms, written as POSCAR:
```
LiCu5
1.0
-2.334 0.766 0.471
-0.864 -1.553 -1.760
-1.097 -8.027 7.621
Cu Li
5 1
Direct
0.000 0.000 0.823
0.500 0.500 0.662
0.000 0.000 0.500
0.000 0.000 0.177
0.500 0.500 0.338
0.500 0.500 0.000
```

Among the structures above, stability is smallest for B.